Entry 1:
Here is Sc2TaHgN after structural relaxation from Alexandria via LeMat-Bulk. Energies are from GGA-PBE.

Properties
The uncorrected formation energy is -0.79 eV per atom. Its density of states at the Fermi level is 3.3 states/eV/cell. The value obtained for the spin magnetization is 0.411 μB/f.u. Its space group is P4/mmm, No. 123.

a b c (Å): 4.476 4.476 4.225
angles (deg): 90.00 90.00 90.00
Fractional positions:
Sc (0.000, 0.500, 0.000)
Sc (0.500, 0.000, 0.000)
N (0.000, 0.000, 0.000)
Hg (0.500, 0.500, 0.500)
Ta (0.000, 0.000, 0.500)

Entry 2:
Here is Mn2NbCl8 after structural relaxation from Alexandria via LeMat-Bulk. Energies are from GGA-PBE.

Properties
The uncorrected formation energy is -1.06 eV per atom. Its density of states at the Fermi level is 1.2 states/eV/cell. The value obtained for the spin magnetization is 8.998 μB/f.u. Its space group is C2/m, No. 12.

a b c (Å): 6.084 8.252 8.252
angles (deg): 53.40 90.69 90.69
Fractional positions:
Mn (0.616, 0.845, 0.845)
Mn (0.384, 0.155, 0.155)
Nb (0.000, 0.000, 0.000)
Cl (0.236, 0.302, 0.825)
Cl (0.764, 0.175, 0.698)
Cl (0.213, 0.863, 0.863)
Cl (0.787, 0.137, 0.137)
Cl (0.236, 0.825, 0.302)
Cl (0.764, 0.698, 0.175)
Cl (0.669, 0.697, 0.697)
Cl (0.331, 0.303, 0.303)

Entry 3:
Here is TiCuBi2O6 after structural relaxation from Alexandria via LeMat-Bulk. Energies are from GGA-PBE.

Properties
The uncorrected formation energy is -1.57 eV per atom. Its density of states at the Fermi level is 0.5 states/eV/cell. The value obtained for the spin magnetization is 1.003 μB/f.u. Its space group is P2_1/c, No. 14.

a b c (Å): 5.343 5.537 8.652
angles (deg): 90.00 88.31 90.00
Fractional positions:
Ti (0.000, 0.500, 0.500)
Ti (0.500, 0.000, 0.000)
Cu (0.000, 0.500, 0.000)
Cu (0.500, 0.000, 0.500)
Bi (0.973, 0.948, 0.240)
Bi (0.527, 0.448, 0.260)
Bi (0.473, 0.552, 0.740)
Bi (0.027, 0.052, 0.760)
O (0.884, 0.451, 0.714)
O (0.794, 0.209, 0.048)
O (0.794, 0.214, 0.431)
O (0.706, 0.714, 0.069)
O (0.706, 0.709, 0.452)
O (0.616, 0.951, 0.786)
O (0.384, 0.049, 0.214)
O (0.294, 0.291, 0.548)
O (0.294, 0.286, 0.931)
O (0.206, 0.791, 0.952)
O (0.206, 0.786, 0.569)
O (0.116, 0.549, 0.286)

Entry 4:
Here is NdGeSb2 after structural relaxation from Alexandria via LeMat-Bulk. Energies are from GGA-PBE.

Properties
The uncorrected formation energy is 0.10 eV per atom. Its density of states at the Fermi level is 3.6 states/eV/cell. The value obtained for the spin magnetization is 0.000 μB/f.u. Its space group is R-3m, No. 166.

a b c (Å): 4.868 4.868 8.615
angles (deg): 73.59 73.59 60.00
Fractional positions:
Sb (0.104, 0.104, 0.687)
Sb (0.896, 0.896, 0.313)
Ge (0.000, 0.000, 0.000)
Nd (0.500, 0.500, 0.500)

Question: The highest spin magnetization belongs to which entry?
Answer: Mn2NbCl8

Question: The highest uncorrected formation energy belongs to which entry?
Answer: NdGeSb2

Repeat the second record exactly.
Here is Mn2NbCl8 after structural relaxation from Alexandria via LeMat-Bulk. Energies are from GGA-PBE.

Properties
The uncorrected formation energy is -1.06 eV per atom. Its density of states at the Fermi level is 1.2 states/eV/cell. The value obtained for the spin magnetization is 8.998 μB/f.u. Its space group is C2/m, No. 12.

a b c (Å): 6.084 8.252 8.252
angles (deg): 53.40 90.69 90.69
Fractional positions:
Mn (0.616, 0.845, 0.845)
Mn (0.384, 0.155, 0.155)
Nb (0.000, 0.000, 0.000)
Cl (0.236, 0.302, 0.825)
Cl (0.764, 0.175, 0.698)
Cl (0.213, 0.863, 0.863)
Cl (0.787, 0.137, 0.137)
Cl (0.236, 0.825, 0.302)
Cl (0.764, 0.698, 0.175)
Cl (0.669, 0.697, 0.697)
Cl (0.331, 0.303, 0.303)